(1)
{
  "formula": "Cs2TaAsF6",
  "functional": "PBE-GGA",
  "state": "optimized geometry",
  "lattice_angstrom": [[-3.562, 3.562, 5.403], [3.562, -3.562, 5.403], [3.562, 3.562, -5.403]],
  "species": ["Cs", "Cs", "Ta", "As", "F", "F", "F", "F", "F", "F"],
  "frac_coords": [[0.250, 0.750, 0.500], [0.750, 0.250, 0.500], [0.000, 0.000, 0.000], [0.500, 0.500, 0.000], [0.179, 0.179, 0.000], [0.192, 0.192, 0.384], [0.192, 0.808, 0.000], [0.808, 0.192, 0.000], [0.808, 0.808, 0.616], [0.821, 0.821, 0.000]],
  "formation_energy_uncorrected_ev_per_atom": -2.43,
  "crystal_system": "tetragonal",
  "m_tot_mub_per_atom": 0.200
}

(2)
{
  "formula": "Cs2TcAsF6",
  "functional": "PBE-GGA",
  "state": "optimized geometry",
  "lattice_angstrom": [[-3.010, 3.010, 5.656], [3.010, -3.010, 5.656], [3.010, 3.010, -5.656]],
  "species": ["Cs", "Cs", "Tc", "As", "F", "F", "F", "F", "F", "F"],
  "frac_coords": [[0.250, 0.750, 0.500], [0.750, 0.250, 0.500], [0.000, 0.000, 0.000], [0.500, 0.500, 0.000], [0.176, 0.176, 0.000], [0.245, 0.245, 0.491], [0.245, 0.755, 0.000], [0.755, 0.245, 0.000], [0.755, 0.755, 0.509], [0.824, 0.824, 0.000]],
  "formation_energy_uncorrected_ev_per_atom": -1.95,
  "crystal_system": "tetragonal",
  "m_tot_mub_per_atom": 0.200
}

(3)
{
  "formula": "Cs2TiAsF6",
  "functional": "PBE-GGA",
  "state": "optimized geometry",
  "lattice_angstrom": [[-3.670, 3.670, 4.106], [3.670, -3.670, 4.106], [3.670, 3.670, -4.106]],
  "species": ["Cs", "Cs", "Ti", "As", "F", "F", "F", "F", "F", "F"],
  "frac_coords": [[0.250, 0.750, 0.500], [0.750, 0.250, 0.500], [0.000, 0.000, 0.000], [0.500, 0.500, 0.000], [0.183, 0.183, 0.366], [0.183, 0.817, 0.000], [0.238, 0.238, 0.000], [0.762, 0.762, 0.000], [0.817, 0.183, 0.000], [0.817, 0.817, 0.634]],
  "formation_energy_uncorrected_ev_per_atom": -2.58,
  "crystal_system": "tetragonal",
  "m_tot_mub_per_atom": 0.100
}

(4)
{
  "formula": "Cs2TlAsF6",
  "functional": "PBE-GGA",
  "state": "optimized geometry",
  "lattice_angstrom": [[0.000, 4.779, 4.779], [4.779, 0.000, 4.779], [4.779, 4.779, 0.000]],
  "species": ["Cs", "Cs", "Tl", "As", "F", "F", "F", "F", "F", "F"],
  "frac_coords": [[0.250, 0.250, 0.250], [0.750, 0.750, 0.750], [0.000, 0.000, 0.000], [0.500, 0.500, 0.500], [0.283, 0.283, 0.717], [0.283, 0.717, 0.283], [0.283, 0.717, 0.717], [0.717, 0.283, 0.283], [0.717, 0.283, 0.717], [0.717, 0.717, 0.283]],
  "formation_energy_uncorrected_ev_per_atom": -2.35,
  "crystal_system": "cubic",
  "m_tot_mub_per_atom": 0.000
}